(1)
TmIn2Hg6 | GGA-PBE | optimized geometry

a = 7.0568 Å, b = 15.1583 Å, c = 4.5116 Å
α = 90.00°, β = 107.97°, γ = 90.00°
Last column: nearest neighbours and their distance in Å.
Space group C2/m (No. 12)
Unique sites:
1 Tm 0.0000 0.0000 0.0000 (multiplicity 2)  8 Hg 3.11-3.20, 4 In 3.47
2 In 0.0000 0.1735 0.5000 (multiplicity 4)  8 Hg 3.06-3.42
3 Hg 0.1737 0.5000 0.3332 (multiplicity 4)  2 Tm 3.11-3.17, 8 Hg 3.24-3.35, 2 In 3.42
4 Hg 0.1793 0.3441 0.8351 (multiplicity 8)  3 In 3.06-3.16, 1 Tm 3.20, 6 Hg 3.23-3.35

Properties
size of the total moment	0.00	Bohr magnetons per cell
energy of formation	-0.11	eV/atom

---

(2)
HfNbFeIr | GGA-PBE | optimized geometry

a = 6.3907 Å, b = 6.3907 Å, c = 6.3907 Å
α = 90.00°, β = 90.00°, γ = 90.00°
Last column: nearest neighbours and their distance in Å.
Space group F-43m (No. 216)
Unique sites:
1 Hf 0.0000 0.0000 0.0000 (multiplicity 4)  4 Fe 2.77, 4 Ir 2.77
2 Nb 0.0000 0.0000 0.5000 (multiplicity 4)  4 Ir 2.77, 4 Fe 2.77
3 Fe 0.2500 0.2500 0.7500 (multiplicity 4)  4 Nb 2.77, 4 Hf 2.77
4 Ir 0.2500 0.2500 0.2500 (multiplicity 4)  4 Hf 2.77, 4 Nb 2.77

Properties
size of the total moment	6.55	Bohr magnetons per cell
energy of formation	-0.41	eV/atom

---

(3)
Tb6Pm3In | GGA-PBE | optimized geometry

a = 12.9932 Å, b = 3.5682 Å, c = 14.6020 Å
α = 90.00°, β = 108.59°, γ = 90.00°
Last column: nearest neighbours and their distance in Å.
Space group P2_1/m (No. 11)
Unique sites:
1 Tb 0.1151 0.2500 0.2104 (multiplicity 2)  7 Tb 3.44-3.72, 5 Pm 3.56-3.82
2 Tb 0.1661 0.7500 0.7831 (multiplicity 2)  1 In 3.24, 3 Pm 3.41-3.62, 4 Tb 3.54-3.57
3 Tb 0.2504 0.2500 0.6104 (multiplicity 2)  2 In 3.49, 6 Tb 3.54-3.67, 5 Pm 3.62-3.81
4 Tb 0.2824 0.7500 0.4012 (multiplicity 2)  4 Pm 3.26-3.47, 5 Tb 3.44-3.57
5 Tb 0.3583 0.7500 0.1902 (multiplicity 2)  2 In 3.35, 3 Pm 3.40-3.51, 7 Tb 3.52-3.72
6 Tb 0.3651 0.2500 0.9765 (multiplicity 2)  3 In 3.34-3.49, 6 Tb 3.57-3.63, 2 Pm 3.73
7 Pm 0.0339 0.7500 0.4083 (multiplicity 2)  4 Tb 3.26-3.62, 4 Pm 3.55-3.57
8 Pm 0.1231 0.7500 0.0016 (multiplicity 2)  7 Tb 3.40-3.73, 4 Pm 3.57-3.65
9 Pm 0.4905 0.7500 0.6037 (multiplicity 2)  7 Tb 3.31-3.62, 1 In 3.33, 4 Pm 3.57-3.59
10 In 0.4221 0.7500 0.8051 (multiplicity 2)  8 Tb 3.24-3.49, 1 Pm 3.33, 2 In 3.57

Properties
size of the total moment	0.00	Bohr magnetons per cell
energy of formation	-0.03	eV/atom
offset from the most stable computed form	0	kJ/mol of formula units

---

(4)
Eu2TlF | GGA-PBE | optimized geometry

a = 3.4891 Å, b = 3.4891 Å, c = 8.3561 Å
α = 90.00°, β = 90.00°, γ = 90.00°
Last column: nearest neighbours and their distance in Å.
Space group P4/mmm (No. 123)
Unique sites:
1 Eu 0.0000 0.0000 0.2215 (multiplicity 2)  4 F 3.08, 4 Tl 3.39
2 Tl 0.5000 0.5000 0.5000 (multiplicity 1)  8 Eu 3.39, 4 Tl 3.49
3 F 0.5000 0.5000 0.0000 (multiplicity 1)  8 Eu 3.08

Properties
size of the total moment	14.34	Bohr magnetons per cell
formation energy without anion corrections	-1.2347	eV per atom
offset from the most stable computed form	67	kJ/mol of formula units

---

(5)
Mn2Cu2Pd2Pt | GGA-PBE | optimized geometry

a = 8.2649 Å, b = 3.9754 Å, c = 6.2037 Å
α = 90.00°, β = 101.47°, γ = 90.00°
Last column: nearest neighbours and their distance in Å.
Space group C2/m (No. 12)
Unique sites:
1 Mn 0.2074 0.0000 0.1578 (multiplicity 4)  3 Cu 2.61-2.75, 4 Pd 2.65-2.73, 3 Pt 2.68-2.78
2 Cu 0.1378 0.5000 0.4321 (multiplicity 4)  3 Cu 2.58-2.73, 3 Mn 2.61-2.75, 5 Pd 2.64-2.75, 1 Pt 2.70
3 Pd 0.0842 0.0000 0.7152 (multiplicity 4)  5 Cu 2.64-2.75, 4 Mn 2.65-2.73, 1 Pd 2.76, 2 Pt 2.84
4 Pt 0.0000 0.5000 0.0000 (multiplicity 2)  6 Mn 2.68-2.78, 2 Cu 2.70, 4 Pd 2.84

Properties
size of the total moment	17.05	Bohr magnetons per cell
energy of formation	-0.19	eV/atom

---

(6)
AlZnPd | GGA-PBE | optimized geometry

a = 4.2588 Å, b = 4.2588 Å, c = 2.8450 Å
α = 90.00°, β = 90.00°, γ = 120.00°
Last column: nearest neighbours and their distance in Å.
Space group P3m1 (No. 156)
Unique sites:
1 Al 0.0000 0.0000 0.0000 (multiplicity 1)  3 Pd 2.58, 3 Zn 2.66, 2 Al 2.85
2 Zn 0.3333 0.6667 0.3543 (multiplicity 1)  3 Al 2.66, 3 Pd 2.68, 2 Zn 2.85
3 Pd 0.6667 0.3333 0.7312 (multiplicity 1)  3 Al 2.58, 3 Zn 2.68, 2 Pd 2.85

Properties
size of the total moment	0.00	Bohr magnetons per cell
energy of formation	-0.42	eV/atom
offset from the most stable computed form	32	kJ/mol of formula units

---

(7)
Mn2IrCl | GGA-PBE | optimized geometry

a = 3.0938 Å, b = 3.0938 Å, c = 23.4598 Å
α = 90.00°, β = 90.00°, γ = 120.00°
Last column: nearest neighbours and their distance in Å.
Space group R-3m (No. 166, hexagonal axes)
Unique sites:
1 Mn 0.0000 0.0000 0.2489 (multiplicity 6)  3 Ir 2.63, 3 Cl 2.67
2 Ir 0.0000 0.0000 0.5000 (multiplicity 3)  6 Mn 2.63
3 Cl 0.0000 0.0000 0.0000 (multiplicity 3)  6 Mn 2.67

Properties
size of the total moment	26.86	Bohr magnetons per cell
formation energy without anion corrections	0.0343	eV per atom
offset from the most stable computed form	51	kJ/mol of formula units

---

(8)
LiTeCl2 | GGA-PBE | optimized geometry

a = 3.7134 Å, b = 3.7134 Å, c = 23.9552 Å
α = 90.00°, β = 90.00°, γ = 120.00°
Last column: nearest neighbours and their distance in Å.
Space group R-3m (No. 166, hexagonal axes)
Unique sites:
1 Li 0.0000 0.0000 0.0000 (multiplicity 3)  6 Cl 2.55
2 Te 0.0000 0.0000 0.5000 (multiplicity 3)  2 Cl 2.61
3 Cl 0.0000 0.0000 0.3910 (multiplicity 6)  3 Li 2.55, 1 Te 2.61

Properties
size of the total moment	0.00	Bohr magnetons per cell
formation energy without anion corrections	-0.9485	eV per atom
offset from the most stable computed form	0	kJ/mol of formula units

---

(9)
Fe3AuC | GGA-PBE | optimized geometry

a = 4.7537 Å, b = 4.7537 Å, c = 4.7537 Å
α = 90.00°, β = 90.00°, γ = 90.00°
Last column: nearest neighbours and their distance in Å.
Space group Pm-3m (No. 221)
Unique sites:
1 Fe 0.0000 0.0000 0.5000 (multiplicity 3)  2 Au 2.38
2 Au 0.0000 0.0000 0.0000 (multiplicity 1)  6 Fe 2.38
3 C 0.5000 0.5000 0.5000 (multiplicity 1)  12 Fe 3.36

Properties
size of the total moment	8.98	Bohr magnetons per cell
energy of formation	2.53	eV/atom
offset from the most stable computed form	1162	kJ/mol of formula units

---

(10)
Nd3Br2N2 | GGA-PBE | optimized geometry

a = 3.6384 Å, b = 6.4383 Å, c = 7.6310 Å
α = 80.93°, β = 90.00°, γ = 73.66°
Last column: nearest neighbours and their distance in Å.
Space group P-1 (No. 2)
Unique sites:
1 Nd 0.0000 0.0000 0.0000 (multiplicity 1)  4 N 2.57-2.58
2 Nd 0.2272 0.5460 0.8023 (multiplicity 2)  3 N 2.37-2.46
3 Br 0.1194 0.7625 0.3805 (multiplicity 2)  4 Nd 3.03-3.28
4 N 0.3630 0.2740 0.0596 (multiplicity 2)  5 Nd 2.37-2.58

Properties
size of the total moment	0.00	Bohr magnetons per cell
formation energy without anion corrections	-1.5048	eV per atom

---

(11)
Ba3NaN | GGA-PBE | optimized geometry

a = 5.8063 Å, b = 5.8063 Å, c = 5.8063 Å
α = 90.00°, β = 90.00°, γ = 90.00°
Last column: nearest neighbours and their distance in Å.
Space group Pm-3m (No. 221)
Unique sites:
1 Ba 0.0000 0.0000 0.5000 (multiplicity 3)  2 N 2.90
2 Na 0.5000 0.5000 0.5000 (multiplicity 1)  12 Ba 4.11
3 N 0.0000 0.0000 0.0000 (multiplicity 1)  6 Ba 2.90

Properties
size of the total moment	0.00	Bohr magnetons per cell
formation energy without anion corrections	-0.1474	eV per atom
offset from the most stable computed form	58	kJ/mol of formula units

---

(12)
Be2FeRe | GGA-PBE | optimized geometry

a = 2.5004 Å, b = 3.6308 Å, c = 4.8935 Å
α = 90.00°, β = 101.67°, γ = 90.00°
Last column: nearest neighbours and their distance in Å.
Space group P2/m (No. 10)
Unique sites:
1 Be 0.2174 0.0000 0.2660 (multiplicity 2)  2 Fe 2.27, 2 Re 2.42, 3 Be 2.44-2.50
2 Fe 0.0000 0.5000 0.5000 (multiplicity 1)  4 Be 2.27, 2 Fe 2.50, 2 Re 2.51
3 Re 0.5000 0.5000 0.0000 (multiplicity 1)  8 Be 2.42-2.70, 2 Re 2.50, 2 Fe 2.51

Properties
size of the total moment	1.67	Bohr magnetons per cell
energy of formation	0.04	eV/atom
offset from the most stable computed form	61	kJ/mol of formula units

---

Electronic total energy, record by record: -1.418 -9.746 -4.508 -7.431 -6.329 -3.826 -7.227 -3.136 -5.052 -6.405 -3.230 -7.054 eV/atom